Entry from the Alexandria database: a relaxed structure of KS3I (PBE).

Cell: 6.0313 6.0313 6.0313 Å, 90.00 90.00 90.00°
Last column: nearest neighbours and their distance in Å.
Positions (direct):
K1 0.0000 0.0000 0.0000  6 S 3.02
S1 0.0000 0.0000 0.5000  2 K 3.02
S2 0.0000 0.5000 0.0000  2 K 3.02
S3 0.5000 0.0000 0.0000  2 K 3.02
I1 0.5000 0.5000 0.5000  12 S 4.26

Computed properties:
V = 43.9 Å³/atom
Formation energy (no corrections) = 1.08 eV/atom
Polymorph energy (0 for the lowest one) = 899 meV/atom